Version P
A relaxed structure of Ac6La3Nd. Source: Alexandria, functional PBE.

Unit cell a=10.431 b=10.431 c=10.431 alpha=110.69 beta=110.69 gamma=110.69
Positions (direct):
Ac: 0.845 0.902 0.266
Ac: 0.418 0.925 0.625
Ac: 0.098 0.734 0.155
Ac: 0.266 0.845 0.902
Ac: 0.902 0.266 0.845
Ac: 0.155 0.098 0.734
Ac: 0.075 0.375 0.582
Ac: 0.925 0.625 0.418
Ac: 0.734 0.155 0.098
Ac: 0.375 0.582 0.075
Ac: 0.582 0.075 0.375
Ac: 0.625 0.418 0.925
La: 0.458 0.287 0.166
La: 0.287 0.166 0.458
La: 0.713 0.834 0.542
La: 0.166 0.458 0.287
La: 0.542 0.713 0.834
La: 0.834 0.542 0.713
Nd: 0.000 0.000 0.000
Nd: 0.500 0.500 0.500

Computed properties:
Symmetry ... R-3
Spin magnetization ... 0.00 Bohr magnetons per cell

***

Version Q
A relaxed structure of Ac6La3Nd. Source: Alexandria, functional PBE.

Unit cell a=3.859 b=14.242 c=15.519 alpha=100.33 beta=90.00 gamma=90.00
Positions (direct):
Ac: 0.750 0.123 0.485
Ac: 0.250 0.217 0.286
Ac: 0.250 0.503 0.314
Ac: 0.250 0.877 0.515
Ac: 0.750 0.346 0.120
Ac: 0.250 0.266 0.702
Ac: 0.750 0.497 0.686
Ac: 0.750 0.811 0.074
Ac: 0.750 0.783 0.714
Ac: 0.750 0.734 0.298
Ac: 0.250 0.189 0.926
Ac: 0.250 0.654 0.880
La: 0.750 0.070 0.105
La: 0.250 0.578 0.097
La: 0.750 0.626 0.504
La: 0.250 0.374 0.496
La: 0.750 0.422 0.903
La: 0.250 0.930 0.895
Nd: 0.250 0.960 0.276
Nd: 0.750 0.040 0.724

Computed properties:
Symmetry ... P2_1/m
Spin magnetization ... 0.00 Bohr magnetons per cell

***

Relative energies with respect to the most stable structure, expressed in meV/atom: version P 20; version Q 0.

***

Version P
A relaxed structure of AcLa4Nd. Source: Alexandria, functional PBE.

Unit cell a=6.215 b=7.071 c=10.962 alpha=108.82 beta=89.14 gamma=90.00
Positions (direct):
La: 0.510 0.169 0.825
La: 0.490 0.831 0.175
La: 0.425 0.762 0.524
La: 0.575 0.238 0.476
La: 0.000 0.745 0.000
La: 0.490 0.344 0.175
La: 0.510 0.656 0.825
La: 0.000 0.255 0.000
Ac: 0.955 0.668 0.335
Ac: 0.045 0.332 0.665
Nd: 0.057 0.152 0.305
Nd: 0.943 0.848 0.695

Computed properties:
Symmetry ... C2/m
Spin magnetization ... 0.00 Bohr magnetons per cell

***

Version Q
A relaxed structure of AcLa4Nd. Source: Alexandria, functional PBE.

Unit cell a=3.769 b=5.300 c=12.479 alpha=115.05 beta=90.00 gamma=90.00
Positions (direct):
Nd: 0.000 0.000 0.000
Ac: 0.500 0.000 0.500
La: 0.500 0.664 0.164
La: 0.500 0.336 0.836
La: 0.000 0.326 0.325
La: 0.000 0.674 0.675

Computed properties:
Symmetry ... P2/m
Spin magnetization ... 0.00 Bohr magnetons per cell

***

Relative energies with respect to the most stable structure, expressed in meV/atom: version P 130; version Q 0.

***

Version P
A relaxed structure of Ac7LaNd4. Source: Alexandria, functional PBE.

Unit cell a=6.468 b=10.173 c=9.188 alpha=65.81 beta=69.39 gamma=71.46
Positions (direct):
Nd: 0.442 0.700 0.415
Nd: 0.669 0.644 0.019
Nd: 0.558 0.300 0.585
Nd: 0.331 0.356 0.981
Ac: 0.794 0.879 0.533
Ac: 0.500 0.000 0.000
Ac: 0.231 0.739 0.800
Ac: 0.913 0.448 0.727
Ac: 0.206 0.121 0.467
Ac: 0.769 0.261 0.200
Ac: 0.087 0.552 0.273
La: 0.000 0.000 0.000

Computed properties:
Symmetry ... C2/m
Spin magnetization ... 0.21 Bohr magnetons per cell

***

Version Q
A relaxed structure of Ac7LaNd4. Source: Alexandria, functional PBE.

Unit cell a=7.758 b=10.296 c=9.664 alpha=81.07 beta=89.71 gamma=41.11
Positions (direct):
Nd: 0.283 0.216 0.334
Nd: 0.717 0.784 0.666
Nd: 0.474 0.274 0.668
Nd: 0.526 0.726 0.332
Ac: 0.749 0.502 0.004
Ac: 0.221 0.780 0.668
Ac: 0.027 0.717 0.337
Ac: 0.973 0.283 0.663
Ac: 0.500 0.000 0.000
Ac: 0.779 0.220 0.332
Ac: 0.251 0.498 0.996
La: 0.000 0.000 0.000

Computed properties:
Symmetry ... P-1
Spin magnetization ... 0.00 Bohr magnetons per cell

***

Relative energies with respect to the most stable structure, expressed in meV/atom: version P 193; version Q 0.

***

Version P
A relaxed structure of Ac2La5Nd12. Source: Alexandria, functional PBE.

Unit cell a=11.869 b=14.869 c=10.745 alpha=146.94 beta=90.00 gamma=113.52
Positions (direct):
Ac: 0.734 0.000 0.000
Ac: 0.266 0.000 0.000
Nd: 0.389 0.778 0.531
Nd: 0.858 0.213 0.615
Nd: 0.966 0.368 0.138
Nd: 0.646 0.787 0.385
Nd: 0.966 0.932 0.753
Nd: 0.402 0.368 0.138
Nd: 0.354 0.213 0.615
Nd: 0.034 0.068 0.247
Nd: 0.034 0.632 0.862
Nd: 0.142 0.787 0.385
Nd: 0.611 0.222 0.469
Nd: 0.598 0.632 0.862
La: 0.000 0.000 0.500
La: 0.666 0.333 0.937
La: 0.279 0.558 0.593
La: 0.334 0.667 0.063
La: 0.721 0.442 0.407

Computed properties:
Symmetry ... C2/m
Spin magnetization ... 0.00 Bohr magnetons per cell

***

Version Q
A relaxed structure of Ac2La5Nd12. Source: Alexandria, functional PBE.

Unit cell a=11.924 b=9.032 c=9.791 alpha=70.08 beta=90.00 gamma=131.31
Positions (direct):
Ac: 0.262 0.000 0.000
Ac: 0.738 0.000 0.000
Nd: 0.944 0.380 0.195
Nd: 0.436 0.380 0.195
Nd: 0.614 0.785 0.427
Nd: 0.132 0.263 0.053
Nd: 0.056 0.620 0.805
Nd: 0.426 0.853 0.774
Nd: 0.171 0.785 0.427
Nd: 0.829 0.215 0.573
Nd: 0.564 0.620 0.805
Nd: 0.386 0.215 0.573
Nd: 0.868 0.737 0.947
Nd: 0.574 0.147 0.226
La: 0.810 0.621 0.323
La: 0.000 0.000 0.500
La: 0.690 0.380 0.761
La: 0.310 0.620 0.239
La: 0.190 0.379 0.677

Computed properties:
Symmetry ... C2/m
Spin magnetization ... 0.00 Bohr magnetons per cell

***

Relative energies with respect to the most stable structure, expressed in meV/atom: version P 0; version Q 5.

***

Version P
A relaxed structure of Ac2LaNd8. Source: Alexandria, functional PBE.

Unit cell a=5.317 b=8.382 c=9.885 alpha=104.82 beta=105.60 gamma=90.00
Positions (direct):
Nd: 0.043 0.727 0.085
Nd: 0.321 0.094 0.641
Nd: 0.866 0.826 0.731
Nd: 0.957 0.273 0.915
Nd: 0.588 0.453 0.177
Nd: 0.412 0.547 0.823
Nd: 0.679 0.906 0.359
Nd: 0.134 0.174 0.269
Ac: 0.227 0.641 0.454
Ac: 0.773 0.359 0.546
La: 0.500 0.000 0.000

Computed properties:
Symmetry ... C2/m
Spin magnetization ... 0.00 Bohr magnetons per cell

***

Version Q
A relaxed structure of Ac2LaNd8. Source: Alexandria, functional PBE.

Unit cell a=5.776 b=10.790 c=10.790 alpha=38.98 beta=92.94 gamma=92.94
Positions (direct):
Ac: 0.744 0.281 0.281
Ac: 0.256 0.719 0.719
Nd: 0.228 0.177 0.177
Nd: 0.265 0.607 0.142
Nd: 0.238 0.544 0.544
Nd: 0.762 0.456 0.456
Nd: 0.265 0.142 0.607
Nd: 0.735 0.858 0.393
Nd: 0.735 0.393 0.858
Nd: 0.772 0.823 0.823
La: 0.000 0.000 0.000

Computed properties:
Symmetry ... C2/m
Spin magnetization ... 0.00 Bohr magnetons per cell

***

Relative energies with respect to the most stable structure, expressed in meV/atom: version P 0; version Q 139.

***

Version P
A relaxed structure of Ac4La3Nd. Source: Alexandria, functional PBE.

Unit cell a=3.699 b=9.530 c=9.530 alpha=97.83 beta=90.00 gamma=90.00
Positions (direct):
Ac: 0.500 0.750 0.250
Ac: 0.000 0.250 0.250
Ac: 0.000 0.750 0.750
Ac: 0.500 0.250 0.750
La: 0.000 0.500 0.000
La: 0.000 0.000 0.500
La: 0.500 0.500 0.500
Nd: 0.500 0.000 0.000

Computed properties:
Symmetry ... Cmmm
Spin magnetization ... 0.02 Bohr magnetons per cell

***

Version Q
A relaxed structure of Ac4La3Nd. Source: Alexandria, functional PBE.

Unit cell a=5.476 b=10.841 c=10.946 alpha=90.00 beta=90.00 gamma=90.00
Positions (direct):
La: 0.064 0.385 0.500
La: 0.564 0.385 0.251
La: 0.564 0.385 0.749
La: 0.064 0.615 0.249
La: 0.064 0.615 0.751
La: 0.564 0.615 0.000
Ac: 0.064 0.865 0.500
Ac: 0.564 0.134 0.500
Ac: 0.564 0.135 0.000
Ac: 0.064 0.135 0.250
Ac: 0.564 0.865 0.750
Ac: 0.564 0.865 0.250
Ac: 0.064 0.135 0.750
Ac: 0.064 0.866 0.000
Nd: 0.564 0.617 0.500
Nd: 0.064 0.383 0.000

Computed properties:
Symmetry ... Pmmn
Spin magnetization ... 0.00 Bohr magnetons per cell

***

Relative energies with respect to the most stable structure, expressed in meV/atom: version P 336; version Q 0.

***

Version P
A relaxed structure of Ac2La3Nd. Source: Alexandria, functional PBE.

Unit cell a=5.410 b=12.017 c=8.520 alpha=115.03 beta=108.51 gamma=90.00
Positions (direct):
Ac: 0.537 0.869 0.074
Ac: 0.463 0.131 0.926
Ac: 0.792 0.131 0.583
Ac: 0.208 0.869 0.417
La: 0.046 0.382 0.091
La: 0.290 0.619 0.581
La: 0.624 0.620 0.249
La: 0.710 0.381 0.419
La: 0.954 0.618 0.909
La: 0.376 0.380 0.751
Nd: 0.874 0.871 0.749
Nd: 0.126 0.129 0.251

Computed properties:
Symmetry ... C2/m
Spin magnetization ... 0.00 Bohr magnetons per cell

***

Version Q
A relaxed structure of Ac2La3Nd. Source: Alexandria, functional PBE.

Unit cell a=6.070 b=10.532 c=7.360 alpha=90.00 beta=90.00 gamma=90.00
Positions (direct):
La: 0.000 0.000 0.000
La: 0.500 0.834 0.750
La: 0.000 0.666 0.250
La: 0.500 0.166 0.250
La: 0.000 0.334 0.750
La: 0.500 0.500 0.500
Nd: 0.500 0.500 0.000
Nd: 0.000 0.000 0.500
Ac: 0.500 0.167 0.749
Ac: 0.500 0.833 0.251
Ac: 0.000 0.667 0.751
Ac: 0.000 0.333 0.249

Computed properties:
Symmetry ... Pnnm
Spin magnetization ... 0.00 Bohr magnetons per cell

***

Relative energies with respect to the most stable structure, expressed in meV/atom: version P 0; version Q 47.

***

Version P
A relaxed structure of Ac2La4Nd3. Source: Alexandria, functional PBE.

Unit cell a=3.787 b=3.787 c=28.119 alpha=90.00 beta=90.00 gamma=120.00
Positions (direct):
La: 0.000 0.000 0.756
La: 0.667 0.333 0.222
La: 0.667 0.333 0.435
La: 0.000 0.000 0.543
Ac: 0.667 0.333 0.870
Ac: 0.667 0.333 0.092
Nd: 0.000 0.000 0.326
Nd: 0.000 0.000 0.983
Nd: 0.667 0.333 0.650

Computed properties:
Symmetry ... P3m1
Spin magnetization ... 0.00 Bohr magnetons per cell

***

Version Q
A relaxed structure of Ac2La4Nd3. Source: Alexandria, functional PBE.

Unit cell a=9.216 b=8.859 c=9.031 alpha=90.00 beta=90.00 gamma=110.81
Positions (direct):
Nd: 0.500 0.500 0.000
Nd: 0.000 0.500 0.500
Nd: 0.746 0.756 0.330
Nd: 0.254 0.244 0.670
Nd: 0.754 0.244 0.830
Nd: 0.246 0.756 0.170
La: 0.145 0.514 0.860
La: 0.632 0.914 0.037
La: 0.855 0.486 0.140
La: 0.368 0.086 0.963
La: 0.868 0.086 0.537
La: 0.132 0.914 0.463
La: 0.645 0.514 0.640
La: 0.355 0.486 0.360
Ac: 0.952 0.828 0.847
Ac: 0.548 0.172 0.347
Ac: 0.048 0.172 0.153
Ac: 0.452 0.828 0.653

Computed properties:
Symmetry ... P2_1/c
Spin magnetization ... 0.00 Bohr magnetons per cell

***

Relative energies with respect to the most stable structure, expressed in meV/atom: version P 0; version Q 48.